# TiS2N PBE-GGA optimized geometry
# VASP energy: -74.54 eV for the cell shown
# Density: 3.5 g/cm³
# Formation energy (no corrections): -0.373 eV/f.u.
# DOS at the Fermi energy: 7.40 states/eV per cell
data_TiS2N
_space_group_name_H-M_alt 'R -3 m'
_space_group_IT_number 166
_space_group_name_Hall '-R 3 2"'
_cell_length_a 3.3718
_cell_length_b 3.3718
_cell_length_c 18.3155
_cell_angle_alpha 90.00
_cell_angle_beta 90.00
_cell_angle_gamma 120.00
loop_
_atom_site_label
_atom_site_fract_x
_atom_site_fract_y
_atom_site_fract_z
_atom_site_occupancy
Ti1 0.0000 0.0000 0.0000 1
S1 0.0000 0.0000 0.4141 1
N1 0.0000 0.0000 0.5000 1